## w
Entry from the Alexandria database: a geometry-optimized MgHOs3 structure (PBE).

Computed properties:
The size of the total moment comes out at 2.5 μB per cell. The density of states at the Fermi level is 6.59 states/eV/cell.

Lattice parameters (Å, degrees): 4.5134 4.5134 4.5134 90.00 90.00 90.00
Space group Pm-3m (No. 221)
Inequivalent atoms, fractional coordinates:
Mg (0.0000, 0.0000, 0.0000)
H (0.5000, 0.5000, 0.5000)
Os (0.0000, 0.0000, 0.5000)



## x
Entry from the Alexandria database: a geometry-optimized MgHOs3 structure (PBE).

Computed properties:
The size of the total moment comes out at 0.0 μB per cell. The density of states at the Fermi level is 4.69 states/eV/cell.

Lattice parameters (Å, degrees): 3.9544 3.9544 3.9544 90.00 90.00 90.00
Space group Pm-3m (No. 221)
Inequivalent atoms, fractional coordinates:
Mg (0.0000, 0.0000, 0.0000)
H (0.5000, 0.5000, 0.5000)
Os (0.0000, 0.5000, 0.5000)



Verdict on stability: w comes out at the bottom.



## w
Entry from the Alexandria database: a geometry-optimized Mg3HOs structure (PBE).

Computed properties:
The size of the total moment comes out at 0.5 μB per cell. The density of states at the Fermi level is 2.69 states/eV/cell.

Lattice parameters (Å, degrees): 5.0123 5.0123 5.0123 90.00 90.00 90.00
Space group Pm-3m (No. 221)
Inequivalent atoms, fractional coordinates:
Mg (0.0000, 0.0000, 0.5000)
H (0.5000, 0.5000, 0.5000)
Os (0.0000, 0.0000, 0.0000)



## x
Entry from the Alexandria database: a geometry-optimized Mg3HOs structure (PBE).

Computed properties:
The size of the total moment comes out at 0.9 μB per cell. The density of states at the Fermi level is 1.48 states/eV/cell.

Lattice parameters (Å, degrees): 4.1284 4.1284 4.1284 90.00 90.00 90.00
Space group Pm-3m (No. 221)
Inequivalent atoms, fractional coordinates:
Mg (0.0000, 0.0000, 0.5000)
H (0.0000, 0.0000, 0.0000)
Os (0.5000, 0.5000, 0.5000)



Verdict on stability: w comes out at the bottom.



## w
Entry from the Alexandria database: a geometry-optimized MgHOs2 structure (PBE).

Computed properties:
The size of the total moment comes out at 0.0 μB per cell. The density of states at the Fermi level is 10.16 states/eV/cell.

Lattice parameters (Å, degrees): 5.0462 5.0462 9.0926 90.00 90.00 90.00
Space group I4_1/amd (No. 141, origin choice 2)
Inequivalent atoms, fractional coordinates:
Mg (0.0000, 0.2500, 0.3750)
H (0.0000, 0.2500, 0.8750)
Os (0.0000, 0.0000, 0.0000)



## x
Entry from the Alexandria database: a geometry-optimized MgHOs2 structure (PBE).

Computed properties:
The size of the total moment comes out at 0.0 μB per cell. The density of states at the Fermi level is 14.38 states/eV/cell.

Lattice parameters (Å, degrees): 5.8778 5.8778 5.8778 90.00 90.00 90.00
Space group Fm-3m (No. 225)
Inequivalent atoms, fractional coordinates:
Mg (0.0000, 0.0000, 0.0000)
H (0.0000, 0.0000, 0.5000)
Os (0.2500, 0.2500, 0.2500)



Verdict on stability: x comes out at the bottom.



## w
Entry from the Alexandria database: a geometry-optimized Mg2H6Os structure (PBE).

Computed properties:
The size of the total moment comes out at 0.0 μB per cell. The density of states at the Fermi level is 0.00 states/eV/cell.

Lattice parameters (Å, degrees): 6.6397 6.6397 6.6397 90.00 90.00 90.00
Space group Fm-3m (No. 225)
Inequivalent atoms, fractional coordinates:
Mg (0.2500, 0.2500, 0.2500)
H (0.0000, 0.0000, 0.2445)
Os (0.0000, 0.0000, 0.5000)



## x
Entry from the Alexandria database: a geometry-optimized Mg2H6Os structure (PBE).

Computed properties:
The size of the total moment comes out at 0.0 μB per cell.

Lattice parameters (Å, degrees): 4.3893 4.3893 8.3693 90.00 90.00 90.00
Space group P4_2/mnm (No. 136)
Inequivalent atoms, fractional coordinates:
Mg (0.0000, 0.0000, 0.1694)
H (0.1932, 0.1932, 0.3548)
H (0.2232, 0.2232, 0.0000)
Os (0.0000, 0.0000, 0.5000)



Verdict on stability: x comes out at the bottom.



## w
Entry from the Alexandria database: a geometry-optimized Mg2PH structure (PBE).

Computed properties:
The size of the total moment comes out at 0.0 μB per cell.

Lattice parameters (Å, degrees): 3.8218 3.8218 18.8149 90.00 90.00 120.00
Space group R3m (No. 160, hexagonal axes)
Inequivalent atoms, fractional coordinates:
Mg (0.0000, 0.0000, 0.0000)
Mg (0.0000, 0.0000, 0.2021)
P (0.0000, 0.0000, 0.5922)
H (0.0000, 0.0000, 0.3930)



## x
Entry from the Alexandria database: a geometry-optimized Mg2PH structure (PBE).

Computed properties:
The size of the total moment comes out at 0.0 μB per cell. The density of states at the Fermi level is 0.00 states/eV/cell.

Lattice parameters (Å, degrees): 6.1438 6.1438 6.1438 90.00 90.00 90.00
Space group Fm-3m (No. 225)
Inequivalent atoms, fractional coordinates:
Mg (0.2500, 0.2500, 0.2500)
P (0.0000, 0.0000, 0.0000)
H (0.0000, 0.0000, 0.5000)



## y
Entry from the Alexandria database: a geometry-optimized Mg2PH structure (PBE).

Computed properties:
The size of the total moment comes out at 0.0 μB per cell. The density of states at the Fermi level is 0.00 states/eV/cell.

Lattice parameters (Å, degrees): 5.0254 5.0254 11.7296 90.00 90.00 90.00
Space group I-42d (No. 122)
Inequivalent atoms, fractional coordinates:
Mg (0.1990, 0.2500, 0.1250)
P (0.0000, 0.0000, 0.5000)
H (0.0000, 0.0000, 0.0000)



Verdict on stability: w comes out at the bottom.



## w
Entry from the Alexandria database: a geometry-optimized Mg2PH structure (PBE).

Computed properties:
The size of the total moment comes out at 0.0 μB per cell. The density of states at the Fermi level is 0.00 states/eV/cell.

Lattice parameters (Å, degrees): 4.0164 4.0164 17.7174 90.00 90.00 120.00
Space group P3_221 (No. 154)
Inequivalent atoms, fractional coordinates:
Mg (0.0035, 0.3369, 0.4354)
P (0.0000, 0.3299, 0.8333)
H (0.0000, 0.3353, 0.3333)



## x
Entry from the Alexandria database: a geometry-optimized Mg2PH structure (PBE).

Computed properties:
The size of the total moment comes out at 0.0 μB per cell. The density of states at the Fermi level is 0.00 states/eV/cell.

Lattice parameters (Å, degrees): 10.2276 8.8385 12.7058 90.00 109.52 90.00
Space group C2/c (No. 15)
Inequivalent atoms, fractional coordinates:
Mg (0.0000, 0.0356, 0.2500)
Mg (0.0000, 0.3994, 0.2500)
Mg (0.0049, 0.2901, 0.6000)
Mg (0.2215, 0.2694, 0.1426)
Mg (0.2318, 0.4227, 0.5223)
P (0.0455, 0.2230, 0.4211)
P (0.2008, 0.4531, 0.7208)
H (0.0859, 0.1442, 0.8463)
H (0.1877, 0.3708, 0.9771)



Verdict on stability: x comes out at the bottom.



## w
Entry from the Alexandria database: a geometry-optimized MgPH3 structure (PBE).

Computed properties:
The size of the total moment comes out at 0.0 μB per cell. The density of states at the Fermi level is 1.14 states/eV/cell.

Lattice parameters (Å, degrees): 3.6079 3.6079 3.6079 90.00 90.00 90.00
Space group Pm-3m (No. 221)
Inequivalent atoms, fractional coordinates:
Mg (0.0000, 0.0000, 0.0000)
P (0.5000, 0.5000, 0.5000)
H (0.0000, 0.5000, 0.5000)



## x
Entry from the Alexandria database: a geometry-optimized MgPH3 structure (PBE).

Computed properties:
The size of the total moment comes out at 0.4 μB per cell. The density of states at the Fermi level is 2.27 states/eV/cell.

Lattice parameters (Å, degrees): 3.6416 3.6416 3.6416 90.00 90.00 90.00
Space group Pm-3m (No. 221)
Inequivalent atoms, fractional coordinates:
Mg (0.0000, 0.0000, 0.0000)
P (0.5000, 0.5000, 0.5000)
H (0.0000, 0.0000, 0.5000)



Verdict on stability: x comes out at the bottom.



## w
Entry from the Alexandria database: a geometry-optimized MgP2HS structure (PBE).

Computed properties:
The size of the total moment comes out at 0.0 μB per cell. The density of states at the Fermi level is 2.81 states/eV/cell.

Lattice parameters (Å, degrees): 3.5237 3.5237 6.9583 90.00 90.00 90.00
Space group P4/mmm (No. 123)
Inequivalent atoms, fractional coordinates:
Mg (0.0000, 0.0000, 0.0000)
P (0.0000, 0.5000, 0.5000)
H (0.5000, 0.5000, 0.5000)
S (0.5000, 0.5000, 0.0000)



## x
Entry from the Alexandria database: a geometry-optimized MgP2HS structure (PBE).

Computed properties:
The size of the total moment comes out at 0.6 μB per cell. The density of states at the Fermi level is 3.35 states/eV/cell.

Lattice parameters (Å, degrees): 4.8574 4.8574 4.7679 90.00 90.00 90.00
Space group P4/mmm (No. 123)
Inequivalent atoms, fractional coordinates:
Mg (0.0000, 0.0000, 0.0000)
P (0.0000, 0.5000, 0.0000)
H (0.5000, 0.5000, 0.5000)
S (0.0000, 0.0000, 0.5000)



Verdict on stability: x comes out at the bottom.